CoOsF2 | Alexandria | SCAN | PBEsol geometry; raw formation energy = 0.502 eV per atom; VASP energy = -23.56 eV/atom; space-group type = Fm-3m, No. 225
1.0
4.0493 0.0000 0.0000
2.0247 3.5068 0.0000
2.0247 1.1689 3.3062
Co Os F
1 1 2
direct
0.0000 0.0000 0.0000
0.5000 0.5000 0.5000
0.2500 0.2500 0.2500
0.7500 0.7500 0.7500

CoOsSF2 | Alexandria | SCAN | PBEsol geometry; raw formation energy = -0.152 eV per atom; VASP energy = -21.33 eV/atom; space-group type = P4/mmm, No. 123
1.0
3.9503 0.0000 0.0000
0.0000 3.9503 0.0000
0.0000 0.0000 4.6615
Co S Os F
1 1 1 2
direct
0.5000 0.5000 0.5000
0.0000 0.0000 0.5000
0.0000 0.0000 0.0000
0.0000 0.5000 0.0000
0.5000 0.0000 0.0000

CoTeOsF2 | Alexandria | SCAN | PBEsol geometry; raw formation energy = 0.154 eV per atom; VASP energy = -26.55 eV/atom; space-group type = P4/mmm, No. 123
1.0
-2.2608 -3.3595 0.2937
3.3342 -2.2797 -0.4121
0.6379 0.0148 5.0788
Co Te Os F
1 1 1 2
direct
0.5000 0.5000 0.5000
0.0000 0.0000 0.0000
0.0000 0.0000 0.5000
0.0000 0.5000 0.0000
0.5000 0.0000 0.0000

CoPb2F | Alexandria | SCAN | PBEsol geometry; raw formation energy = -0.213 eV per atom; VASP energy = -43.32 eV/atom; space-group type = Fm-3m, No. 225
1.0
-2.4167 -1.7019 3.5565
-2.5859 -3.7919 -0.5652
1.2780 -3.9848 1.9682
Pb Co F
2 1 1
direct
0.2500 0.2500 0.2500
0.7500 0.7500 0.7500
0.5000 0.5000 0.5000
0.0000 0.0000 0.0000

Co2TePbF | Alexandria | SCAN | PBEsol geometry; raw formation energy = 0.028 eV per atom; VASP energy = -30.21 eV/atom; space-group type = P4/mmm, No. 123
1.0
-1.1831 -2.3918 3.4425
-0.4002 -3.4962 -2.5667
4.6601 -1.1319 0.8152
Pb Te Co F
1 1 2 1
direct
0.0000 0.0000 0.5000
0.5000 0.5000 0.5000
0.0000 0.5000 0.0000
0.5000 0.0000 0.0000
0.0000 0.0000 0.0000

CoPtF6 | Alexandria | SCAN | PBEsol geometry; raw formation energy = -1.794 eV per atom; VASP energy = -15.39 eV/atom; space-group type = R-3, No. 148
1.0
-1.1340 4.4203 1.9983
-3.0071 3.1371 -2.4360
-4.9743 0.6687 1.9077
Co Pt F
1 1 6
direct
0.5000 0.5000 0.5000
0.0000 0.0000 0.0000
0.8922 0.2541 0.2492
0.2541 0.6045 0.2492
0.3955 0.1078 0.7508
0.7459 0.3955 0.7508
0.1078 0.7459 0.7508
0.6045 0.8922 0.2492